[1]
Density functional theory data (PBE-GGA) for Ti6TlSe12 after structural relaxation.

ΔE_f (raw): -0.73 eV/atom
space-group type: No. 166
calculated volume: 421.1 Å³/cell
size of the total moment: 1.263 μB per formula unit

Geometry as extended XYZ:
```
19
Lattice="-4.7921 4.4804 -4.4207 1.3197 -6.5937 -4.1668 -4.2325 -2.1911 6.3139" Properties=species:S:1:pos:R:3 pbc="T T T"
Ti -3.8950 0.5923 -2.3122
Ti -3.6786 -1.9880 1.8396
Ti -1.5312 -3.6908 -2.2140
Ti -4.0262 -2.3164 -4.1132
Ti -3.8098 -4.8967 0.0387
Ti -6.1736 -0.6136 -0.0595
Tl 0.0000 0.0000 0.0000
Se -6.1634 2.0351 -1.2328
Se -5.6553 -1.2456 -2.4727
Se -5.5056 -3.0294 0.3976
Se -3.6838 -0.0978 0.1313
Se -2.1992 -1.2750 -2.6711
Se -2.0496 -3.0588 0.1992
Se -3.6408 -4.6748 2.9221
Se -1.7530 -3.8169 -5.0997
Se -1.5415 -6.3395 -1.0408
Se -4.0640 0.3704 -5.1957
Se -5.9518 -0.4875 2.8261
Se -4.0211 -4.2066 -2.4048
```

=====

[2]
Density functional theory data (PBE-GGA) for Ti3TlSe after structural relaxation.

energy above the lowest structure with this stoichiometry: 5.31 eV per formula unit
ΔE_f (raw): 1.08 eV/atom
space-group type: No. 221
calculated volume: 136.3 Å³/cell
size of the total moment: 5.004 μB per formula unit

Geometry as extended XYZ:
```
5
Lattice="-2.2275 4.3735 -1.5478 -2.2164 -2.5115 -3.9070 -4.0757 -1.0245 2.9706" Properties=species:S:1:pos:R:3 pbc="T T T"
Tl 0.0000 0.0000 0.0000
Se -4.2597 0.4188 -1.2421
Ti -1.1082 -1.2558 -1.9535
Ti -2.0378 -0.5122 1.4853
Ti -1.1137 2.1868 -0.7739
```

=====

[3]
Density functional theory data (PBE-GGA) for Ti3TlSe after structural relaxation.

energy above the lowest structure with this stoichiometry: 0.00 eV per formula unit
ΔE_f (raw): 0.01 eV/atom
space-group type: No. 221
calculated volume: 105.3 Å³/cell
size of the total moment: 2.453 μB per formula unit

Geometry as extended XYZ:
```
5
Lattice="-1.0674 2.2410 -4.0174 2.7931 -2.9612 -2.3940 -3.6552 -2.9172 -0.6561" Properties=species:S:1:pos:R:3 pbc="T T T"
Tl -0.9648 -1.8187 -3.5337
Se 0.0000 0.0000 0.0000
Ti 1.3965 -1.4806 -1.1970
Ti -1.8276 -1.4586 -0.3281
Ti -0.5337 1.1205 -2.0087
```

=====

[4]
Density functional theory data (PBE-GGA) for U3TiTl3Se8 after structural relaxation.

ΔE_f (raw): -0.94 eV/atom
space-group type: No. 166
calculated volume: 448.3 Å³/cell
size of the total moment: 9.002 μB per formula unit

Geometry as extended XYZ:
```
15
Lattice="-2.7631 -3.5708 6.6437 7.5604 -1.2722 -2.3955 -1.6780 8.3006 3.7635" Properties=species:S:1:pos:R:3 pbc="T T T"
U -2.2206 2.3649 5.2036
U 1.5596 1.7288 4.0059
U 2.9412 3.5142 0.6840
Ti -0.8390 4.1503 1.8818
Tl 0.0000 0.0000 0.0000
Tl 3.7802 -0.6361 -1.1977
Tl 2.3986 -2.4215 2.1241
Se 2.7645 0.7902 1.5745
Se 0.3547 2.6673 6.4373
Se 1.5347 -0.9595 4.9787
Se 1.5846 4.4171 3.0331
Se -2.4579 -0.2877 6.2438
Se 5.5772 3.7453 1.7679
Se -0.9986 1.5982 2.7352
Se 4.1179 1.8594 5.2766
```

=====

[5]
Density functional theory data (PBE-GGA) for UTi2Tl3Se6 after structural relaxation.

ΔE_f (raw): -0.88 eV/atom
space-group type: No. 12
calculated volume: 311.8 Å³/cell
size of the total moment: 3.631 μB per formula unit

Geometry as extended XYZ:
```
12
Lattice="6.5205 -0.0814 -0.8040 -3.3292 5.6072 -0.8040 -2.1630 -3.7452 9.6807" Properties=species:S:1:pos:R:3 pbc="T T T"
U 0.0000 0.0000 0.0000
Ti -0.0419 3.7087 -0.8040
Ti 3.2333 1.8171 -0.8040
Tl -2.7689 2.7864 4.0364
Tl 3.7973 -1.0058 4.0364
Tl 0.5142 0.8903 4.0364
Se 2.0130 -0.5297 6.8484
Se 2.2556 3.9056 0.4702
Se -0.9846 2.3103 1.2243
Se -1.4649 1.4788 6.8484
Se -1.2273 -2.1250 7.6025
Se 2.4932 0.3017 1.2243
```

=====

[6]
Density functional theory data (PBE-GGA) for U2TiTl2Se6 after structural relaxation.

ΔE_f (raw): -0.97 eV/atom
space-group type: No. 12
calculated volume: 325.3 Å³/cell
size of the total moment: 6.000 μB per formula unit

Geometry as extended XYZ:
```
11
Lattice="6.8515 -0.0008 0.0416 -3.3871 5.9557 0.0416 -1.2511 -2.1504 7.9425" Properties=species:S:1:pos:R:3 pbc="T T T"
U -0.6026 2.8966 4.0128
U 2.8159 0.9078 4.0128
Ti -0.6255 -1.0752 3.9712
Tl 5.0866 1.0260 0.0416
Tl -1.6222 4.9289 0.0416
Se 1.7456 3.0004 5.6241
Se -1.6895 0.7865 5.5801
Se 0.4678 0.8040 2.4016
Se 1.5187 -1.0800 5.5801
Se 3.9029 3.0180 2.4456
Se 0.6946 4.8845 2.4456
```

=====

[7]
Density functional theory data (PBE-GGA) for Ti2Tl3VSe6 after structural relaxation.

ΔE_f (raw): -0.76 eV/atom
space-group type: No. 12
calculated volume: 289.1 Å³/cell
size of the total moment: 2.361 μB per formula unit

Geometry as extended XYZ:
```
12
Lattice="-1.1117 -0.2897 -6.1096 -2.5555 -4.1788 3.8280 -5.6672 6.6064 1.7620" Properties=species:S:1:pos:R:3 pbc="T T T"
Ti -2.0741 -2.8820 0.5145
Ti -1.5932 -1.5864 -2.7960
Tl -5.1474 -0.2245 3.0453
Tl -4.1871 2.3624 -3.5648
Tl -4.6672 1.0690 -0.2598
V 0.0000 0.0000 0.0000
Se -7.2729 2.6193 -1.9678
Se -3.6673 -2.0786 -1.3463
Se -2.0616 -0.4814 1.4483
Se -7.7520 1.3288 1.3299
Se -5.6672 4.2165 0.8267
Se -1.5825 0.8091 -1.8495
```

=====

[8]
Density functional theory data (PBE-GGA) for Ti3Tl3VSe8 after structural relaxation.

ΔE_f (raw): -0.85 eV/atom
space-group type: No. 166
calculated volume: 374.0 Å³/cell
size of the total moment: 3.421 μB per formula unit

Geometry as extended XYZ:
```
15
Lattice="-2.0383 6.9915 -0.4707 -0.7169 -4.4065 -5.7750 -6.3001 -1.4013 6.4693" Properties=species:S:1:pos:R:3 pbc="T T T"
Ti -4.1692 2.7951 2.9993
Ti -4.5276 0.5919 0.1118
Ti -3.5085 -2.9039 0.3472
Tl 0.0000 0.0000 0.0000
Tl -0.3584 -2.2032 -2.8875
Tl -1.3776 1.2925 -3.1229
V -3.1501 -0.7006 3.2347
Se -2.9216 -0.9344 -1.2296
Se -6.1337 2.1182 1.4533
Se -3.9364 2.5623 -1.4688
Se -5.1189 -1.3785 1.6924
Se -3.5775 4.7678 1.4222
Se -5.4778 -3.5840 -1.1985
Se -2.5572 1.2682 1.6576
Se -6.4981 -0.0844 -1.4340
```